Entry 1:
Entry from the Alexandria database: TbH6Rh2Pb after structural relaxation (GGA-PBE).

Cell: 6.180 6.180 6.156 Å, 99.94 99.94 101.72°
Fractional coordinates of all 20 atoms:
1 Tb 0.112 0.888 0.750
2 Tb 0.888 0.112 0.250
3 H 0.027 0.825 0.371
4 H 0.093 0.560 0.876
5 H 0.175 0.973 0.129
6 H 0.276 0.278 0.932
7 H 0.278 0.276 0.432
8 H 0.440 0.907 0.624
9 H 0.560 0.093 0.376
10 H 0.722 0.724 0.568
11 H 0.724 0.722 0.068
12 H 0.825 0.027 0.871
13 H 0.907 0.440 0.124
14 H 0.973 0.175 0.629
15 Rh 0.185 0.406 0.677
16 Rh 0.406 0.185 0.177
17 Rh 0.594 0.815 0.823
18 Rh 0.815 0.594 0.323
19 Pb 0.353 0.647 0.250
20 Pb 0.647 0.353 0.750

Results
symmetry: C2/c, No. 15
uncorrected energy: -89.8 eV/cell
D(E_F): 0.386 states/eV per atom
theoretical density: 8.67 g/cm3


Entry 2:
Entry from the Alexandria database: AgPb after structural relaxation (GGA-PBE).

Cell: 8.194 8.194 8.194 Å, 92.23 92.23 157.24°
Fractional coordinates of all 8 atoms:
1 Ag 0.076 0.155 0.231
2 Ag 0.155 0.924 0.080
3 Ag 0.845 0.076 0.920
4 Ag 0.924 0.845 0.769
5 Pb 0.124 0.661 0.785
6 Pb 0.339 0.124 0.463
7 Pb 0.661 0.876 0.537
8 Pb 0.876 0.339 0.215

Results
symmetry: I4/m, No. 87
D(E_F): 0.366 states/eV per atom
theoretical density: 10.03 g/cm3
ΔH_f (0 K): 0.184 eV/atom